P) # SmEr2N

Crystalline SmEr2N at its relaxed geometry (PBE-GGA, the Alexandria database).

Calculated values
SG	P4/mmm (123)
volume	21.9	Å³/atom

Cell lengths 3.1525, 3.1525, 8.8019 Å; angles 90.00, 90.00, 90.00 degrees
Closest atoms and distances in Å follow each position.
Element x y z (fractional)
N 0.5000 0.5000 0.0000  8 Er 2.64
Sm 0.5000 0.5000 0.5000  4 Sm 3.15
Er 0.0000 0.0000 0.8404  4 N 2.64, 1 Er 2.81
Er 0.0000 0.0000 0.1596  4 N 2.64, 1 Er 2.81


Q) # SmEr2N

Crystalline SmEr2N at its relaxed geometry (PBE-GGA, the Alexandria database).

Calculated values
SG	R-3m (166)
volume	24.1	Å³/atom

Cell lengths 3.4197, 3.4197, 9.7133 Å; angles 79.86, 79.86, 60.00 degrees
Closest atoms and distances in Å follow each position.
Element x y z (fractional)
Sm 0.0000 0.0000 0.0000  6 Sm 3.42, 2 Er 3.44
Er 0.1205 0.1205 0.6385  3 N 2.37
N 0.5000 0.5000 0.5000  6 Er 2.37
Er 0.8795 0.8795 0.3615  3 N 2.37


Most stable: Q)


P) # Er4Sn2N

Crystalline Er4Sn2N at its relaxed geometry (PBE-GGA, the Alexandria database).

Calculated values
SG	C2/m (12)
volume	24.0	Å³/atom

Cell lengths 3.5087, 6.1116, 8.5630 Å; angles 110.24, 101.82, 90.00 degrees
Closest atoms and distances in Å follow each position.
Element x y z (fractional)
Sn 0.7511 0.7274 0.5023  6 Er 3.17-3.29, 4 Sn 3.28-3.51
Er 0.5810 0.2474 0.1621  2 N 2.40
Er 0.0947 0.7885 0.1894  1 N 2.38
Sn 0.2489 0.2726 0.4977  6 Er 3.17-3.29, 4 Sn 3.28-3.51
Er 0.4190 0.7526 0.8379  2 N 2.40
N 0.0000 0.0000 0.0000  6 Er 2.38-2.40
Er 0.9053 0.2115 0.8106  1 N 2.38


Q) # Er4Sn2N

Crystalline Er4Sn2N at its relaxed geometry (PBE-GGA, the Alexandria database).

Calculated values
SG	I4/mmm (139)
volume	24.5	Å³/atom

Cell lengths 4.6576, 4.6576, 8.5661 Å; angles 74.22, 74.22, 90.00 degrees
Closest atoms and distances in Å follow each position.
Element x y z (fractional)
Sn 0.3574 0.3574 0.2851  9 Er 3.14-3.30
Er 0.0000 0.5000 0.0000  2 N 2.33
Er 0.1587 0.1587 0.6826  1 N 2.51
Er 0.5000 0.0000 0.0000  2 N 2.33
Sn 0.6426 0.6426 0.7149  9 Er 3.14-3.30
Er 0.8413 0.8413 0.3174  1 N 2.51
N 0.0000 0.0000 0.0000  6 Er 2.33-2.51


Most stable: Q)


P) # TbEr2N

Crystalline TbEr2N at its relaxed geometry (PBE-GGA, the Alexandria database).

Calculated values
SG	P4/mmm (123)
volume	21.6	Å³/atom

Cell lengths 3.1519, 3.1519, 8.6787 Å; angles 90.00, 90.00, 90.00 degrees
Closest atoms and distances in Å follow each position.
Element x y z (fractional)
Tb 0.5000 0.5000 0.5000  4 Tb 3.15
Er 0.0000 0.0000 0.8387  4 N 2.63, 1 Er 2.80
Er 0.0000 0.0000 0.1613  4 N 2.63, 1 Er 2.80
N 0.5000 0.5000 0.0000  8 Er 2.63


Q) # TbEr2N

Crystalline TbEr2N at its relaxed geometry (PBE-GGA, the Alexandria database).

Calculated values
SG	R-3m (166)
volume	22.9	Å³/atom

Cell lengths 3.4500, 3.4500, 9.1248 Å; angles 79.10, 79.10, 60.00 degrees
Closest atoms and distances in Å follow each position.
Element x y z (fractional)
Er 0.2829 0.2829 0.1513  3 N 2.40
N 0.0000 0.0000 0.0000  6 Er 2.40
Er 0.7171 0.7171 0.8487  3 N 2.40
Tb 0.5000 0.5000 0.5000  6 Tb 3.45, 6 Er 3.69


Most stable: Q)


P) # ErTcN

Crystalline ErTcN at its relaxed geometry (PBE-GGA, the Alexandria database).

Calculated values
SG	P4/nmm (129)
volume	14.4	Å³/atom

Cell lengths 3.3203, 3.3202, 15.6374 Å; angles 90.00, 90.00, 90.00 degrees
Closest atoms and distances in Å follow each position.
Element x y z (fractional)
Tc 0.7500 0.7500 0.4601  1 N 2.12
Er 0.2501 0.2500 0.3279  5 N 2.35-2.38
Er 0.7499 0.7500 0.6721  5 N 2.35-2.38
Tc 0.7500 0.7500 0.9601  1 N 2.12
N 0.2501 0.2500 0.1757  1 Tc 2.12, 4 Er 2.35
Tc 0.2500 0.2500 0.5399  1 N 2.12
N 0.7501 0.7500 0.3243  1 Tc 2.12, 4 Er 2.35
N 0.2499 0.2500 0.6757  1 Tc 2.12, 4 Er 2.35
N 0.7499 0.7500 0.8243  1 Tc 2.12, 4 Er 2.35
Er 0.2499 0.2500 0.8279  5 N 2.35-2.38
Er 0.7501 0.7500 0.1721  5 N 2.35-2.38
Tc 0.2500 0.2500 0.0399  1 N 2.12


Q) # ErTcN

Crystalline ErTcN at its relaxed geometry (PBE-GGA, the Alexandria database).

Calculated values
SG	I4mm (107)
volume	13.9	Å³/atom

Cell lengths 2.8849, 2.8849, 5.4144 Å; angles 105.45, 105.45, 90.00 degrees
Closest atoms and distances in Å follow each position.
Element x y z (fractional)
Er 0.0159 0.0159 0.0317  1 Tc 2.72, 4 N 2.73, 4 Er 2.88
N 0.6967 0.6967 0.3934  4 Tc 2.23
Tc 0.2874 0.2874 0.5749  4 N 2.23


Most stable: P)


P) # Er4Te3N2

Crystalline Er4Te3N2 at its relaxed geometry (PBE-GGA, the Alexandria database).

Calculated values
SG	C2/m (12)
volume	24.9	Å³/atom

Cell lengths 4.0518, 7.2497, 9.3026 Å; angles 120.00, 90.00, 106.23 degrees
Closest atoms and distances in Å follow each position.
Element x y z (fractional)
Er 0.3119 0.6238 0.8626  1 N 2.11
Er 0.8641 0.7282 0.5796  3 N 2.20-2.30
Te 0.3790 0.7580 0.2684  3 Er 3.05-3.38
Er 0.6881 0.3762 0.1374  1 N 2.11
Er 0.1359 0.2718 0.4204  3 N 2.20-2.30
Te 0.6210 0.2420 0.7316  3 Er 3.05-3.38
Te 0.0000 0.0000 0.0000  6 Er 3.02-3.34
N 0.3108 0.6215 0.6344  4 Er 2.11-2.30
N 0.6892 0.3785 0.3656  4 Er 2.11-2.30


Q) # Er4Te3N2

Crystalline Er4Te3N2 at its relaxed geometry (PBE-GGA, the Alexandria database).

Calculated values
SG	C2/m (12)
volume	23.4	Å³/atom

Cell lengths 3.5941, 7.1223, 8.7501 Å; angles 103.54, 90.00, 104.61 degrees
Closest atoms and distances in Å follow each position.
Element x y z (fractional)
Te 0.3949 0.7897 0.5891  5 Er 3.14-3.20
Te 0.6051 0.2103 0.4109  5 Er 3.14-3.20
Er 0.6824 0.3647 0.0966  3 N 2.28-2.39
Te 0.0000 0.0000 0.0000  6 Er 3.04-3.18
Er 0.9082 0.8164 0.3007  2 N 2.48
Er 0.3176 0.6353 0.9034  3 N 2.28-2.39
Er 0.0918 0.1836 0.6993  2 N 2.48
N 0.2994 0.5988 0.1555  5 Er 2.28-2.48
N 0.7006 0.4012 0.8445  5 Er 2.28-2.48


Most stable: P)


P) # ErThN

Crystalline ErThN at its relaxed geometry (PBE-GGA, the Alexandria database).

Calculated values
SG	P4/mmm (123)
volume	21.3	Å³/atom

Cell lengths 4.7443, 3.6711, 3.6711 Å; angles 89.99, 90.00, 90.00 degrees
Closest atoms and distances in Å follow each position.
Element x y z (fractional)
Er 0.8944 0.0586 0.0586  2 N 2.37
N 0.3944 0.0586 0.0586  2 Er 2.37, 4 Th 2.60
Th 0.3945 0.5586 0.5586  4 N 2.60


Q) # ErThN

Crystalline ErThN at its relaxed geometry (PBE-GGA, the Alexandria database).

Calculated values
SG	P3m1 (156)
volume	22.3	Å³/atom

Cell lengths 3.5264, 3.5264, 6.2086 Å; angles 90.00, 90.00, 120.00 degrees
Closest atoms and distances in Å follow each position.
Element x y z (fractional)
Th 0.0000 0.0000 0.0995  3 N 2.57
Er 0.3333 0.6667 0.5494  3 N 2.38
N 0.6667 0.3333 0.3510  3 Er 2.38, 3 Th 2.57


Most stable: P)